# 1
DFT (PBE) results for an optimized crystal structure of KHf2Sb2.

Lattice parameters (Å, degrees): 5.5190 5.5190 6.3918 64.42 64.42 90.00
Positions (direct):
Sb1 0.7500 0.2500 0.5000
Sb2 0.2500 0.7500 0.5000
K1 0.0000 0.0000 0.0000
Hf1 0.3445 0.3445 0.3110
Hf2 0.6555 0.6555 0.6890

Results
The calculation puts the polymorph energy (0 for the lowest one) at 0.3430 eV/atom. The uncorrected formation energy comes out at 33 meV per atom. Its space-group type is I4/mmm (139).

# 2
DFT (PBE) results for an optimized crystal structure of KIrW2.

Lattice parameters (Å, degrees): 4.5690 4.5690 4.5690 60.00 60.00 60.00
Positions (direct):
K1 0.0000 0.0000 0.0000
Ir1 0.5000 0.5000 0.5000
W1 0.2500 0.2500 0.2500
W2 0.7500 0.7500 0.7500

Results
The calculation puts the polymorph energy (0 for the lowest one) at 0.8500 eV/atom. The calculated formation energy comes out at 1.504 eV/atom. Its space-group type is Fm-3m (225).

# 3
DFT (PBE) results for an optimized crystal structure of NpTiNbGa.

Lattice parameters (Å, degrees): 4.7058 4.7058 4.7058 60.00 60.00 60.00
Positions (direct):
Np1 0.0000 0.0000 0.0000
Nb1 0.7500 0.7500 0.7500
Ga1 0.5000 0.5000 0.5000
Ti1 0.2500 0.2500 0.2500

Results
The calculated formation energy comes out at 0.115 eV/atom. Its space-group type is F-43m (216).

# 4
DFT (PBE) results for an optimized crystal structure of Be4GaPt.

Lattice parameters (Å, degrees): 4.4152 4.4152 4.4152 60.00 60.00 60.00
Positions (direct):
Be1 0.6262 0.6262 0.1215
Be2 0.6262 0.1215 0.6262
Be3 0.6262 0.6262 0.6262
Be4 0.1215 0.6262 0.6262
Ga1 0.2500 0.2500 0.2500
Pt1 0.0000 0.0000 0.0000

Results
The calculated formation energy comes out at -0.316 eV/atom. Its space-group type is F-43m (216).

# 5
DFT (PBE) results for an optimized crystal structure of Ca4Ac2Bi3H2.

Lattice parameters (Å, degrees): 4.9184 4.9184 13.5883 100.43 100.43 90.00
Positions (direct):
Ca1 0.4202 0.9202 0.8403
Ca2 0.9202 0.4202 0.8403
Ca3 0.0798 0.5798 0.1597
Ca4 0.5798 0.0798 0.1597
Ac1 0.3006 0.3006 0.6012
Ac2 0.6994 0.6994 0.3988
Bi1 0.0000 0.0000 0.0000
Bi2 0.1680 0.1680 0.3361
Bi3 0.8320 0.8320 0.6639
H1 0.4033 0.4033 0.8065
H2 0.5967 0.5967 0.1935

Results
The calculation puts the final energy at -3.87 eV per atom. Its space-group type is I4/mmm (139).

# 6
DFT (PBE) results for an optimized crystal structure of ZnPt6Rh3.

Lattice parameters (Å, degrees): 3.9181 9.7576 11.2313 132.47 90.00 90.00
Positions (direct):
Zn1 0.2500 0.3814 0.9742
Zn2 0.7500 0.6186 0.0258
Pt1 0.2500 0.2320 0.3587
Pt2 0.7500 0.7680 0.6413
Pt3 0.2500 0.8477 0.0730
Pt4 0.7500 0.1523 0.9270
Pt5 0.2500 0.0162 0.6996
Pt6 0.7500 0.9838 0.3004
Pt7 0.2500 0.7428 0.2480
Pt8 0.7500 0.2572 0.7520
Pt9 0.2500 0.4824 0.7943
Pt10 0.7500 0.5176 0.2057
Pt11 0.2500 0.2939 0.1616
Pt12 0.7500 0.7061 0.8384
Rh1 0.2500 0.1192 0.5217
Rh2 0.7500 0.8808 0.4783
Rh3 0.2500 0.6402 0.4314
Rh4 0.7500 0.3598 0.5686
Rh5 0.2500 0.9182 0.8783
Rh6 0.7500 0.0818 0.1217

Results
The calculated formation energy comes out at -0.006 eV/atom. Its space-group type is P2_1/m (11).